DFT (PBE-GGA) results for a relaxed structure of LiLaTl2.

```
data_LiLaTl2
_chemical_formula_sum 'Li2 La2 Tl4'
_cell_length_a 7.403
_cell_length_b 7.413
_cell_length_c 4.128
_cell_angle_alpha 90.00
_cell_angle_beta 90.00
_cell_angle_gamma 90.00
_symmetry_space_group_name_H-M 'C m m m'
_symmetry_Int_Tables_number 65
_symmetry_space_group_name_Hall '-C 2 2'
loop_
_atom_site_label
_atom_site_fract_x
_atom_site_fract_y
_atom_site_fract_z
Li1 0.000 0.000 0.000
La1 0.000 0.500 0.000
Tl1 0.250 0.250 0.500
```

DFT (PBE-GGA) results for a relaxed structure of Hf2NiBiPt.

```
data_Hf2NiBiPt
_chemical_formula_sum 'Hf2 Ni1 Bi1 Pt1'
_cell_length_a 5.015
_cell_length_b 5.015
_cell_length_c 4.765
_cell_angle_alpha 90.00
_cell_angle_beta 90.00
_cell_angle_gamma 90.00
_symmetry_space_group_name_H-M 'P 4/m m m'
_symmetry_Int_Tables_number 123
_symmetry_space_group_name_Hall '-P 4 2'
loop_
_atom_site_label
_atom_site_fract_x
_atom_site_fract_y
_atom_site_fract_z
Hf1 0.000 0.500 0.000
Ni1 0.000 0.000 0.500
Bi1 0.500 0.500 0.500
Pt1 0.000 0.000 0.000
```

DFT (PBE-GGA) results for a relaxed structure of SrB2Rh.

Results
- distance to the lowest polymorph of the same formula (meV per atom) = 982

```
data_SrB2Rh
_chemical_formula_sum 'Sr4 B8 Rh4'
_cell_length_a 6.098
_cell_length_b 6.098
_cell_length_c 6.098
_cell_angle_alpha 90.00
_cell_angle_beta 90.00
_cell_angle_gamma 90.00
_symmetry_space_group_name_H-M 'F m -3 m'
_symmetry_Int_Tables_number 225
_symmetry_space_group_name_Hall '-F 4 2 3'
loop_
_atom_site_label
_atom_site_fract_x
_atom_site_fract_y
_atom_site_fract_z
Sr1 0.000 0.000 0.000
B1 0.250 0.250 0.250
Rh1 0.000 0.000 0.500
```

| no. | calculated total energy (eV/atom) | magnetic moment (Bohr magnetons per cell) | formation energy (meV per atom) |
| --- | --- | --- | --- |
| 1 | -3.20 | 0.000 | -302 |
| 2 | -6.91 | 0.000 | 207 |
| 3 | -4.72 | 0.000 | 874 |